! Pm3UN4 | the Alexandria database | PBE | optimized geometry; values from VASP
&SYSTEM
  ibrav = 0, nat = 8, ntyp = 3
/
ATOMIC_SPECIES
N 14.01 N.upf
Pm 145.00 Pm.upf
U 238.03 U.upf
CELL_PARAMETERS angstrom
-1.1113 -1.8154 -2.8563
-3.4700 -3.5555 3.6099
-3.2937 4.8583 -1.8063
ATOMIC_POSITIONS crystal
N 0.0000 0.7796 0.7796
N 0.0000 0.2204 0.2204
N 0.5000 0.2247 0.7753
N 0.5000 0.7753 0.2247
Pm 0.5000 0.5000 0.5000
Pm 0.0000 0.0000 0.5000
Pm 0.0000 0.5000 0.0000
U 0.5000 0.0000 0.0000
! - V: 127 Å³/cell
! - E_form (uncorrected): -1.46 eV per atom
! - Energy relative to the lowest polymorph listed for this composition: 13 meV per atom
! - Total magnetic moment: 0.05 μB per atom

=====

! PmUN | the Alexandria database | PBE | optimized geometry; values from VASP
&SYSTEM
  ibrav = 0, nat = 3, ntyp = 3
/
ATOMIC_SPECIES
U 238.03 U.upf
N 14.01 N.upf
Pm 145.00 Pm.upf
CELL_PARAMETERS angstrom
-3.3877 -2.9456 4.4732
2.0577 -2.7050 -0.2229
0.7143 2.5071 2.1920
ATOMIC_POSITIONS crystal
U 0.2205 0.6667 0.3333
N 0.0143 0.0000 0.0000
Pm 0.7652 0.3333 0.6667
! - V: 64 Å³/cell
! - E_form (uncorrected): -0.59 eV per atom
! - Energy relative to the lowest polymorph listed for this composition: 0 meV per atom
! - Total magnetic moment: 0.88 μB per atom

=====

! PmU2N3 | the Alexandria database | PBE | optimized geometry; values from VASP
&SYSTEM
  ibrav = 0, nat = 12, ntyp = 3
/
ATOMIC_SPECIES
Pm 145.00 Pm.upf
U 238.03 U.upf
N 14.01 N.upf
CELL_PARAMETERS angstrom
5.3886 0.0000 0.0000
0.0000 6.4535 1.2149
0.0000 -0.4623 6.5505
ATOMIC_POSITIONS crystal
Pm 0.2500 0.3707 0.6293
Pm 0.7500 0.6293 0.3707
U 0.0000 0.8232 0.8232
U 0.5000 0.1768 0.1768
U 0.0000 0.1768 0.1768
U 0.5000 0.8232 0.8232
N 0.2500 0.9200 0.0800
N 0.2500 0.4114 0.2713
N 0.7500 0.5886 0.7287
N 0.2500 0.7287 0.5886
N 0.7500 0.2713 0.4114
N 0.7500 0.0800 0.9200
! - V: 231 Å³/cell
! - E_form (uncorrected): -0.47 eV per atom
! - Total magnetic moment: 0.44 μB per atom

=====

! Pm3UN4 | the Alexandria database | PBE | optimized geometry; values from VASP
&SYSTEM
  ibrav = 0, nat = 16, ntyp = 3
/
ATOMIC_SPECIES
N 14.01 N.upf
Pm 145.00 Pm.upf
U 238.03 U.upf
CELL_PARAMETERS angstrom
6.1379 0.0491 0.0000
-2.1052 5.7930 0.0000
0.0000 0.0000 7.1142
ATOMIC_POSITIONS crystal
N 0.5249 0.7702 0.6486
N 0.5033 0.2172 0.8902
N 0.9751 0.2298 0.6486
N 0.9967 0.7828 0.8902
N 0.0249 0.7702 0.3514
N 0.4967 0.7828 0.1098
N 0.0033 0.2172 0.1098
N 0.4751 0.2298 0.3514
Pm 0.7500 0.5000 0.1248
Pm 0.2500 0.0000 0.6235
Pm 0.2500 0.5000 0.3770
Pm 0.7500 0.5000 0.6230
Pm 0.7500 0.0000 0.3765
Pm 0.2500 0.5000 0.8752
U 0.7500 0.0000 0.8729
U 0.2500 0.0000 0.1271
! - V: 254 Å³/cell
! - E_form (uncorrected): -1.47 eV per atom
! - Energy relative to the lowest polymorph listed for this composition: 0 meV per atom
! - Total magnetic moment: 0.00 μB per atom

=====

! Pm2UN3 | the Alexandria database | PBE | optimized geometry; values from VASP
&SYSTEM
  ibrav = 0, nat = 12, ntyp = 3
/
ATOMIC_SPECIES
N 14.01 N.upf
Pm 145.00 Pm.upf
U 238.03 U.upf
CELL_PARAMETERS angstrom
3.5884 0.0000 0.0000
-1.7942 9.8587 -1.9433
0.0000 -0.7456 6.1761
ATOMIC_POSITIONS crystal
N 0.5509 0.1018 0.7169
N 0.7500 0.5000 0.2503
N 0.9491 0.8982 0.7825
N 0.0509 0.1018 0.2168
N 0.2500 0.5000 0.7504
N 0.4491 0.8982 0.2825
Pm 0.6764 0.3527 0.8436
Pm 0.1763 0.3527 0.3436
Pm 0.8237 0.6473 0.6570
Pm 0.3237 0.6473 0.1570
U 0.0000 0.0000 0.4997
U 0.5000 0.0000 0.9997
! - V: 213 Å³/cell
! - E_form (uncorrected): -1.22 eV per atom
! - Energy relative to the lowest polymorph listed for this composition: 222 meV per atom
! - Total magnetic moment: 0.22 μB per atom

=====

! PmUN | the Alexandria database | PBE | optimized geometry; values from VASP
&SYSTEM
  ibrav = 0, nat = 3, ntyp = 3
/
ATOMIC_SPECIES
N 14.01 N.upf
Pm 145.00 Pm.upf
U 238.03 U.upf
CELL_PARAMETERS angstrom
-0.0322 2.1267 -2.4220
-3.2232 -0.0332 0.0137
1.5947 3.9701 5.6098
ATOMIC_POSITIONS crystal
N 0.7832 0.7832 0.5664
Pm 0.9683 0.9683 0.9366
U 0.2485 0.2485 0.4970
! - V: 69 Å³/cell
! - E_form (uncorrected): -0.43 eV per atom
! - Energy relative to the lowest polymorph listed for this composition: 157 meV per atom
! - Total magnetic moment: 0.61 μB per atom

=====

- What is the E_form (uncorrected) in the first record?
  -1.46 eV per atom